(1)
The following is a DFT calculation (PBE) of BaVP2S8 after structural relaxation.

```
BaVP2S8
1.0
5.9495 0.0000 0.0000
-2.9747 5.1524 0.0000
0.0000 0.0000 8.7046
Ba V P S
1 1 2 8
Cartesian
0.0000 0.0000 0.0000 Ba
0.0000 0.0000 4.3523 V
0.0000 3.4349 6.3235 P
2.9747 1.7175 2.3811 P
-2.0042 3.4813 2.9504 S
0.9619 1.6761 2.9504 S
1.9325 0.0050 5.7542 S
0.0000 3.4349 8.3324 S
2.9747 1.7175 0.3722 S
1.0422 5.1474 2.9504 S
2.0128 3.4763 5.7542 S
4.9789 1.6711 5.7542 S
```

(2)
The following is a DFT calculation (PBE) of BaPWS2 after structural relaxation.

```
BaPWS2
1.0
4.8386 0.0000 0.0000
0.0000 4.8386 0.0000
0.0000 0.0000 4.7928
Ba P W S
1 1 1 2
Cartesian
0.0000 0.0000 0.0000 Ba
2.4193 2.4193 0.0000 P
2.4193 2.4193 2.3964 W
0.0000 2.4193 2.3964 S
2.4193 0.0000 2.3964 S
```

Distance to the lowest polymorph of the same formula ... 0.0 meV/atom

(3)
The following is a DFT calculation (PBE) of BaPWS2 after structural relaxation.

```
BaPWS2
1.0
5.6517 0.0000 0.0000
0.0000 5.6517 0.0000
0.0000 0.0000 5.7789
Ba P W S
1 1 1 2
Cartesian
0.0000 0.0000 0.0000 Ba
0.0000 0.0000 2.8895 P
2.8258 2.8258 2.8895 W
0.0000 2.8258 0.0000 S
2.8258 0.0000 0.0000 S
```

Distance to the lowest polymorph of the same formula ... 2617.3 meV/atom

(4)
The following is a DFT calculation (PBE) of BaYP2S after structural relaxation.

```
BaYP2S
1.0
5.2908 0.0000 0.0000
0.0000 5.2908 0.0000
0.0000 0.0000 5.2996
Ba Y P S
1 1 2 1
Cartesian
0.0000 0.0000 0.0000 Ba
2.6454 2.6454 2.6498 Y
0.0000 2.6454 2.6498 P
2.6454 0.0000 2.6498 P
2.6454 2.6454 0.0000 S
```

Distance to the lowest polymorph of the same formula ... 0.0 meV/atom

(5)
The following is a DFT calculation (PBE) of BaYP2S after structural relaxation.

```
BaYP2S
1.0
5.3218 0.0000 0.0000
0.0000 5.3218 0.0000
0.0000 0.0000 5.4865
Ba Y P S
1 1 2 1
Cartesian
0.0000 0.0000 0.0000 Ba
2.6609 2.6609 2.7432 Y
0.0000 2.6609 0.0000 P
2.6609 0.0000 0.0000 P
0.0000 0.0000 2.7432 S
```

Distance to the lowest polymorph of the same formula ... 1217.7 meV/atom

(6)
The following is a DFT calculation (PBE) of BaYP2S8 after structural relaxation.

```
BaYP2S8
1.0
6.0793 0.0000 0.0000
-3.0397 5.2648 0.0000
0.0000 0.0000 9.2729
Ba Y P S
1 1 2 8
Cartesian
0.0000 0.0000 0.0000 Ba
0.0000 0.0000 4.6364 Y
0.0000 3.5099 6.9772 P
3.0397 1.7549 2.2956 P
-1.0478 1.8349 6.4068 S
0.0000 3.5099 9.0163 S
-0.9267 5.2548 6.4068 S
1.0652 1.8248 2.8660 S
1.9745 3.4400 6.4068 S
3.9664 0.0101 2.8660 S
3.0397 1.7549 0.2566 S
4.0874 3.4299 2.8660 S
```

(7)
The following is a DFT calculation (PBE) of BaZnPS2 after structural relaxation.

```
BaZnPS2
1.0
5.0408 0.0000 0.0000
0.0000 5.0408 0.0000
0.0000 0.0000 4.5770
Ba Zn P S
1 1 1 2
Cartesian
0.0000 0.0000 0.0000 Ba
2.5204 2.5204 2.2885 Zn
2.5204 2.5204 0.0000 P
0.0000 2.5204 2.2885 S
2.5204 0.0000 2.2885 S
```

Distance to the lowest polymorph of the same formula ... 0.0 meV/atom

(8)
The following is a DFT calculation (PBE) of BaZnPS2 after structural relaxation.

```
BaZnPS2
1.0
6.1101 0.0000 0.0000
0.0000 6.1101 0.0000
0.0000 0.0000 6.5879
Ba Zn P S
1 1 1 2
Cartesian
0.0000 0.0000 0.0000 Ba
3.0550 3.0550 3.2940 Zn
0.0000 0.0000 3.2940 P
0.0000 3.0550 0.0000 S
3.0550 0.0000 0.0000 S
```

Distance to the lowest polymorph of the same formula ... 1230.7 meV/atom

(9)
The following is a DFT calculation (PBE) of BaZrP2S after structural relaxation.

```
BaZrP2S
1.0
5.0889 0.0000 0.0000
0.0000 5.0889 0.0000
0.0000 0.0000 5.1087
Ba Zr P S
1 1 2 1
Cartesian
0.0000 0.0000 0.0000 Ba
2.5444 2.5444 2.5543 Zr
0.0000 2.5444 2.5543 P
2.5444 0.0000 2.5543 P
2.5444 2.5444 0.0000 S
```

Distance to the lowest polymorph of the same formula ... 0.0 meV/atom

(10)
The following is a DFT calculation (PBE) of BaZrP2S8 after structural relaxation.

```
BaZrP2S8
1.0
6.0873 0.0000 0.0000
-3.0437 5.2718 0.0000
0.0000 0.0000 8.8991
Ba Zr P S
1 1 2 8
Cartesian
0.0000 0.0000 0.0000 Ba
0.0000 0.0000 4.4496 Zr
0.0000 3.5145 6.6149 P
3.0437 1.7573 2.2842 P
-1.0087 1.7974 6.0023 S
0.0000 3.5145 8.6139 S
-0.9827 5.2467 6.0023 S
1.0522 1.7723 2.8968 S
1.9915 3.4995 6.0023 S
4.0264 0.0251 2.8968 S
3.0437 1.7573 0.2852 S
4.0524 3.4744 2.8968 S
```

(11)
The following is a DFT calculation (PBE) of BaZrP2S after structural relaxation.

```
BaZrP2S
1.0
5.2907 0.0000 0.0000
0.0000 5.2907 0.0000
0.0000 0.0000 5.4831
Ba Zr P S
1 1 2 1
Cartesian
0.0000 0.0000 0.0000 Ba
2.6454 2.6454 2.7416 Zr
0.0000 2.6454 0.0000 P
2.6454 0.0000 0.0000 P
0.0000 0.0000 2.7416 S
```

Distance to the lowest polymorph of the same formula ... 2054.1 meV/atom

(12)
The following is a DFT calculation (PBE) of BaSb2P after structural relaxation.

```
BaSb2P
1.0
5.0335 0.0000 0.0000
0.0000 5.0705 0.0000
-0.7877 0.0000 5.0664
Ba Sb P
1 2 1
Cartesian
0.0000 0.0000 0.0000 Ba
1.2182 2.5352 3.6932 Sb
3.0275 2.5352 1.3732 Sb
2.1229 0.0000 2.5332 P
```

(13)
The following is a DFT calculation (PBE) of BaSbP after structural relaxation.

```
BaSbP
1.0
0.0000 3.7758 3.7758
3.7758 0.0000 3.7758
3.7758 3.7758 0.0000
Ba Sb P
1 1 1
Cartesian
0.0000 0.0000 0.0000 Ba
1.8879 1.8879 1.8879 Sb
3.7758 3.7758 3.7758 P
```

Distance to the lowest polymorph of the same formula ... 723.7 meV/atom

(14)
The following is a DFT calculation (PBE) of Ba6Sb3P after structural relaxation.

```
Ba6Sb3P
1.0
8.4436 0.0000 0.0000
0.0000 9.0932 0.0000
-8.3711 0.0000 12.0694
Ba Sb P
12 6 2
Cartesian
-1.1796 0.6405 2.9028 Ba
-5.3652 3.9061 8.9375 Ba
1.4900 6.3460 0.8915 Ba
-2.6956 7.2937 6.9262 Ba
2.5809 1.6269 0.7994 Ba
-1.6047 2.9196 6.8341 Ba
1.6772 6.1735 5.2353 Ba
-2.5083 7.4662 11.2700 Ba
2.7681 1.7995 5.1432 Ba
-1.4174 2.7471 11.1779 Ba
5.4377 5.1870 3.1319 Ba
1.2522 8.4527 9.1666 Ba
-3.9241 0.7309 9.0808 Sb
0.2614 3.8157 3.0461 Sb
0.0363 0.0000 6.0347 Sb
4.2218 4.5466 0.0000 Sb
-0.1888 5.2775 9.0233 Sb
3.9967 8.3622 2.9886 Sb
0.0000 0.0000 0.0000 P
-4.1855 4.5466 6.0347 P
```

(15)
The following is a DFT calculation (PBE) of BaSb2P2 after structural relaxation.

```
BaSb2P2
1.0
-2.2669 2.2669 6.6289
2.2669 -2.2669 6.6289
2.2669 2.2669 -6.6289
Ba Sb P
1 2 2
Cartesian
0.0000 0.0000 0.0000 Ba
2.2669 0.0000 3.3145 Sb
0.0000 2.2669 3.3145 Sb
0.0000 0.0000 5.5741 P
0.0000 0.0000 7.6838 P
```

Distance to the lowest polymorph of the same formula ... 0.0 meV/atom

(16)
The following is a DFT calculation (PBE) of Ba2Sb2P after structural relaxation.

```
Ba2Sb2P
1.0
8.0675 0.0000 0.0000
0.0000 8.0675 0.0000
0.0000 0.0000 5.1807
Ba Sb P
4 4 2
Cartesian
1.4200 2.6138 0.0000 Ba
2.6138 6.6475 0.0000 Ba
5.4537 1.4200 0.0000 Ba
6.6475 5.4537 0.0000 Ba
1.0568 5.0906 2.5904 Sb
2.9769 1.0568 2.5904 Sb
5.0906 7.0107 2.5904 Sb
7.0107 2.9769 2.5904 Sb
0.0000 0.0000 2.5904 P
4.0338 4.0338 2.5904 P
```

(17)
The following is a DFT calculation (PBE) of BaSbP after structural relaxation.

```
BaSbP
1.0
2.2138 -9.9784 0.0000
2.2138 9.9784 0.0000
0.0000 0.0000 4.2628
Ba Sb P
2 2 2
Cartesian
2.2138 8.0332 3.1971 Ba
2.2138 -8.0332 1.0657 Ba
2.2138 4.9730 1.0657 Sb
2.2138 -4.9730 3.1971 Sb
2.2138 0.5011 3.1971 P
2.2138 -0.5011 1.0657 P
```

Distance to the lowest polymorph of the same formula ... 0.0 meV/atom

(18)
The following is a DFT calculation (PBE) of BaSb2P2 after structural relaxation.

```
BaSb2P2
1.0
8.9312 0.0000 0.0000
0.0000 8.9312 0.0000
0.0000 0.0000 3.7944
Ba Sb P
2 4 4
Cartesian
0.0000 0.0000 0.0000 Ba
4.4656 4.4656 0.0000 Ba
1.5788 2.8868 1.8972 Sb
2.8868 7.3524 1.8972 Sb
6.0444 1.5788 1.8972 Sb
7.3524 6.0444 1.8972 Sb
1.6631 6.1287 0.0000 P
2.8025 1.6631 0.0000 P
6.1287 7.2681 0.0000 P
7.2681 2.8025 0.0000 P
```

Distance to the lowest polymorph of the same formula ... 80.7 meV/atom

(19)
The following is a DFT calculation (PBE) of BaSb2P after structural relaxation.

```
BaSb2P
1.0
4.4180 0.0000 0.0000
0.0000 4.4180 0.0000
0.0000 0.0000 7.3993
Ba Sb P
1 2 1
Cartesian
0.0000 0.0000 0.0000 Ba
0.0000 0.0000 3.6837 Sb
2.2090 2.2090 2.8457 Sb
2.2090 2.2090 0.3935 P
```

(20)
The following is a DFT calculation (PBE) of Ba3SbP after structural relaxation.

```
Ba3SbP
1.0
6.1067 0.0000 0.0000
0.0000 6.1067 0.0000
0.0000 0.0000 6.1067
Ba Sb P
3 1 1
Cartesian
0.0000 0.0000 3.0533 Ba
0.0000 3.0533 0.0000 Ba
3.0533 0.0000 0.0000 Ba
3.0533 3.0533 3.0533 Sb
0.0000 0.0000 0.0000 P
```

Distance to the lowest polymorph of the same formula ... 145.7 meV/atom

| no. | ΔE_f (raw) (kcal/mol of atoms) |
| --- | --- |
| 1 | -15.0 |
| 2 | -17.2 |
| 3 | 43.2 |
| 4 | -17.0 |
| 5 | 11.1 |
| 6 | -19.7 |
| 7 | -10.8 |
| 8 | 17.6 |
| 9 | -20.8 |
| 10 | -19.3 |
| 11 | 26.6 |
| 12 | -7.7 |
| 13 | -0.4 |
| 14 | -23.0 |
| 15 | -6.5 |
| 16 | -13.1 |
| 17 | -17.0 |
| 18 | -4.6 |
| 19 | -8.5 |
| 20 | -19.4 |